No. 1
Ac4HgIr2 after structural relaxation. Source: Alexandria via LeMat-Bulk, functional PBE.

Output
- formation enthalpy at 0 K (meV per atom) = -608
- mass density (g/cm3) = 10.4
- uncorrected energy (eV/f.u.) = -38.71
- calculated volume (Å³/cell) = 476.6

```
Ac4HgIr2
1.0
2.194 -7.286 0.000
2.194 7.286 0.000
0.000 0.000 14.905
Ac Hg Ir
8 2 4
direct
0.000 0.000 0.000
0.000 0.000 0.500
0.266 0.734 0.609
0.266 0.734 0.891
0.440 0.560 0.250
0.560 0.440 0.750
0.734 0.266 0.109
0.734 0.266 0.391
0.115 0.885 0.250
0.885 0.115 0.750
0.368 0.632 0.065
0.368 0.632 0.435
0.632 0.368 0.565
0.632 0.368 0.935
```

No. 2
KIBr4 after structural relaxation. Source: Alexandria via LeMat-Bulk, functional PBE.

Output
- ΔE to the lowest computed polymorph (eV/atom) = 0.000
- energy relative to the elements, uncorrected (eV per atom) = -0.62
- mass density (g/cm3) = 3.4
- uncorrected energy (eV/f.u.) = -13.08
- calculated volume (Å³/cell) = 476.2

```
KIBr4
1.0
8.191 -4.090 0.000
8.191 4.090 0.000
-4.086 0.000 7.107
K I Br
2 2 8
direct
0.250 0.750 0.750
0.750 0.250 0.250
0.000 0.500 0.000
0.500 0.000 0.500
0.035 0.198 0.034
0.198 0.035 0.534
0.301 0.465 0.301
0.465 0.301 0.801
0.535 0.699 0.199
0.699 0.535 0.699
0.802 0.965 0.466
0.965 0.802 0.966
```

No. 3
Cd2IrW after structural relaxation. Source: Alexandria via LeMat-Bulk, functional PBE.

Output
- formation enthalpy at 0 K (meV per atom) = 503
- ΔE to the lowest computed polymorph (eV/atom) = 0.426
- mass density (g/cm3) = 14.3
- uncorrected energy (eV/f.u.) = -21.63
- calculated volume (Å³/cell) = 69.8

```
Cd2IrW
1.0
1.455 0.840 9.526
-1.455 0.840 9.526
0.000 -1.680 9.526
Cd Ir W
2 1 1
direct
0.247 0.247 0.247
0.753 0.753 0.753
0.500 0.500 0.500
0.000 0.000 0.000
```